w | # SrLi3Tl3 GGA-PBE relaxed
# Size of the total moment = 0.000 μB per atom
data_SrLi3Tl3
_cell_length_a 7.400
_cell_length_b 7.400
_cell_length_c 7.400
_cell_angle_alpha 90.00
_cell_angle_beta 90.00
_cell_angle_gamma 90.00
_symmetry_space_group_name_H-M 'P m -3 n'
_symmetry_Int_Tables_number 223
_symmetry_space_group_name_Hall '-P 4n 2 3'
loop_
_atom_site_label
_atom_site_fract_x
_atom_site_fract_y
_atom_site_fract_z
Sr1 0.000 0.000 0.000
Li1 0.000 0.250 0.500
Tl1 0.000 0.500 0.250

***

x | # SrLi3Tl3 GGA-PBE relaxed
# Size of the total moment = 0.000 μB per atom
data_SrLi3Tl3
_cell_length_a 8.7120
_cell_length_b 8.7120
_cell_length_c 16.5761
_cell_angle_alpha 90.00
_cell_angle_beta 90.00
_cell_angle_gamma 120.00
_symmetry_space_group_name_H-M 'R -3'
_symmetry_Int_Tables_number 148
_symmetry_space_group_name_Hall '-R 3'
loop_
_atom_site_label
_atom_site_fract_x
_atom_site_fract_y
_atom_site_fract_z
Sr1 0.0000 0.0000 0.1737
Li1 0.0050 0.2455 0.4454
Tl1 0.0017 0.6786 0.0463

***

Of them, the most stable is x and the least stable is w.